Record 1
Material: BeBiAsW
Method: DFT, PBE
State: optimized geometry

a = 4.6786 Å, b = 4.6786 Å, c = 4.6786 Å
α = 60.00°, β = 60.00°, γ = 60.00°
With the nearest neighbours (Å) after each atom.
Positions (direct):
Be (0.0000, 0.0000, 0.0000)  4 W 2.87, 4 Bi 2.87
Bi (0.2500, 0.2500, 0.2500)  4 As 2.87, 4 Be 2.87
As (0.5000, 0.5000, 0.5000)  4 W 2.87, 4 Bi 2.87
W (0.7500, 0.7500, 0.7500)  4 As 2.87, 4 Be 2.87

## Properties
space-group type: F-43m, No. 216
total magnetization: 1.751 μB per cell
calculated total energy: -21.09 eV/cell

---

Record 2
Material: BeCdCoAs
Method: DFT, PBE
State: optimized geometry

a = 4.3349 Å, b = 4.3349 Å, c = 4.3349 Å
α = 60.00°, β = 60.00°, γ = 60.00°
With the nearest neighbours (Å) after each atom.
Positions (direct):
Be (0.0000, 0.0000, 0.0000)  4 Cd 2.65, 4 Co 2.65
Cd (0.2500, 0.2500, 0.2500)  4 As 2.65, 4 Be 2.65
Co (0.7500, 0.7500, 0.7500)  4 As 2.65, 4 Be 2.65
As (0.5000, 0.5000, 0.5000)  4 Cd 2.65, 4 Co 2.65

## Properties
space-group type: F-43m, No. 216
total magnetization: 0.004 μB per cell
calculated total energy: -14.40 eV/cell

---

Record 3
Material: BeCdCoAs
Method: DFT, PBE
State: optimized geometry

a = 4.3127 Å, b = 4.3127 Å, c = 4.3127 Å
α = 60.00°, β = 60.00°, γ = 60.00°
With the nearest neighbours (Å) after each atom.
Positions (direct):
Be (0.0000, 0.0000, 0.0000)  4 Cd 2.64, 4 As 2.64
Cd (0.7500, 0.7500, 0.7500)  4 Co 2.64, 4 Be 2.64
Co (0.5000, 0.5000, 0.5000)  4 Cd 2.64, 4 As 2.64
As (0.2500, 0.2500, 0.2500)  4 Co 2.64, 4 Be 2.64

## Properties
space-group type: F-43m, No. 216
total magnetization: 0.007 μB per cell
calculated total energy: -14.60 eV/cell

---

Record 4
Material: CsBe3CdAs3
Method: DFT, PBE
State: optimized geometry

a = 3.9310 Å, b = 4.0862 Å, c = 10.8845 Å
α = 90.00°, β = 90.00°, γ = 90.00°
With the nearest neighbours (Å) after each atom.
Positions (direct):
Cs (0.0000, 0.0000, 0.0000)  8 As 3.69-3.83, 4 Cs 3.93-4.09, 4 Be 4.03-4.14
Be (0.0000, 0.5000, 0.3303)  4 As 2.32-2.40
Be (0.0000, 0.5000, 0.6561)  2 As 2.28
Be (0.5000, 0.0000, 0.3230)  4 As 2.34-2.38
Cd (0.5000, 0.0000, 0.6113)  4 As 2.63-2.67, 4 Be 2.88
As (0.0000, 0.0000, 0.4457)  4 Be 2.38-2.40
As (0.5000, 0.5000, 0.2175)  4 Be 2.32-2.34
As (0.5000, 0.5000, 0.7631)  2 Be 2.28

## Properties
space-group type: Pmm2, No. 25
calculated total energy: -28.01 eV/cell

---

- Look up the calculated total energy of the fourth one.
  -28.01 eV/cell